(1)
# MgMnNi2

A relaxed structure of MgMnNi2 (PBE, the Alexandria database).

abc: 4.3762 4.3762 4.7425
angles: 100.69 100.69 36.55
Element x y z (fractional)
Mg1 0.0000 0.0000 0.0000
Mn1 0.5000 0.5000 0.5000
Ni1 0.2434 0.2434 0.7300
Ni2 0.7566 0.7566 0.2700

Computed properties:
Formation enthalpy at 0 K = 67 meV/atom
Mass density = 6.155 Mg/m³
N(E_F) = 3.47 states/eV/cell
Uncorrected energy = -5.514 eV per atom
Total magnetization = 1.036 μB per atom

(2)
# BePb3

A relaxed structure of BePb3 (PBE, the Alexandria database).

abc: 5.1232 5.1232 5.1232
angles: 90.00 90.00 90.00
Element x y z (fractional)
Be1 0.0000 0.0000 0.0000
Pb1 0.0000 0.0000 0.5000
Pb2 0.0000 0.5000 0.0000
Pb3 0.5000 0.0000 0.0000

Computed properties:
Formation enthalpy at 0 K = 499 meV/atom
Mass density = 7.787 Mg/m³
N(E_F) = 3.48 states/eV/cell
Uncorrected energy = -3.214 eV per atom
Total magnetization = 0.000 μB per atom

(3)
# CdInAg2

A relaxed structure of CdInAg2 (PBE, the Alexandria database).

abc: 3.1463 5.9998 8.8849
angles: 88.69 80.54 88.15
Element x y z (fractional)
Cd1 0.0007 0.2500 0.4986
Cd2 0.9993 0.7500 0.5014
In1 0.2264 0.7496 0.0239
In2 0.7736 0.2504 0.9761
Ag1 0.3835 0.4993 0.7370
Ag2 0.3891 0.9961 0.7368
Ag3 0.6109 0.0039 0.2632
Ag4 0.6165 0.5007 0.2630

Computed properties:
Formation enthalpy at 0 K = -5 meV/atom
Mass density = 8.898 Mg/m³
N(E_F) = 1.73 states/eV/cell
Uncorrected energy = -2.344 eV per atom
Total magnetization = 0.000 μB per atom